Compound: LiTcP
Source: Alexandria via LeMat-Bulk
Functional: PBE
Structure: optimized geometry

Output
Its distance to the lowest polymorph of the same formula is 102 meV/atom. The value obtained for the formation energy from the elements is -0.436 eV/atom. The electronic total energy comes out at -6.332 eV per atom. The space group is I4/mmm (139).

Cell lengths 4.1763, 4.1763, 10.8477 Å; angles 90.00, 90.00, 90.00 degrees
Element x y z (fractional)
Li 0.0000 0.5000 0.0000
Li 0.0000 0.5000 0.5000
Li 0.5000 0.0000 0.0000
Li 0.5000 0.0000 0.5000
Tc 0.0000 0.5000 0.2500
Tc 0.0000 0.5000 0.7500
Tc 0.5000 0.0000 0.2500
Tc 0.5000 0.0000 0.7500
P 0.0000 0.0000 0.1506
P 0.0000 0.0000 0.8494
P 0.5000 0.5000 0.3494
P 0.5000 0.5000 0.6506

Compound: Tb8Rh2Au
Source: Alexandria via LeMat-Bulk
Functional: PBE
Structure: optimized geometry

Output
The value obtained for the formation energy from the elements is -0.402 eV/atom. The electronic total energy comes out at -5.404 eV per atom. The space group is Cm (8).

Cell lengths 7.7173, 7.7173, 5.8533 Å; angles 99.35, 99.35, 113.94 degrees
Element x y z (fractional)
Tb 0.0000 0.0000 0.0000
Tb 0.0322 0.2908 0.5958
Tb 0.1451 0.5993 0.1832
Tb 0.2908 0.0322 0.5958
Tb 0.4514 0.7100 0.7804
Tb 0.5993 0.1451 0.1832
Tb 0.7100 0.4514 0.7804
Tb 0.7455 0.7455 0.3697
Rh 0.0684 0.6761 0.6857
Rh 0.6761 0.0684 0.6857
Au 0.3743 0.3743 0.0540

Compound: Cs2PbF6
Source: Alexandria via LeMat-Bulk
Functional: PBE
Structure: optimized geometry

Output
The calculation puts the energy relative to the elements, uncorrected at -21.93 eV/f.u. The electronic total energy comes out at -4.285 eV per atom. The space group is Fm-3m (225).

Cell lengths 6.6733, 6.6733, 6.6733 Å; angles 60.00, 60.00, 60.00 degrees
Element x y z (fractional)
Cs 0.2500 0.2500 0.2500
Cs 0.7500 0.7500 0.7500
Pb 0.0000 0.0000 0.0000
F 0.2234 0.2234 0.7766
F 0.2234 0.7766 0.2234
F 0.2234 0.7766 0.7766
F 0.7766 0.2234 0.2234
F 0.7766 0.2234 0.7766
F 0.7766 0.7766 0.2234